# Sr2Co2SeSO2 (GGA+U, relaxed)
data_Sr2Co2SeSO2
_space_group_name_H-M_alt 'P 1'
_space_group_IT_number 1
_cell_length_a 3.991
_cell_length_b 3.991
_cell_length_c 11.470
_cell_angle_alpha 90.00
_cell_angle_beta 90.00
_cell_angle_gamma 120.00
loop_
_space_group_symop_operation_xyz
'x,y,z'
loop_
_atom_site_label
_atom_site_type_symbol
_atom_site_fract_x
_atom_site_fract_y
_atom_site_fract_z
Sr1 Sr 0.667 0.333 0.721
Sr2 Sr 0.333 0.667 0.234
Co1 Co 0.000 0.000 0.004
Co2 Co 0.000 0.000 0.493
O1 O 0.000 0.000 0.167
O2 O 0.000 0.000 0.655
S1 S 0.667 0.333 0.427
Se1 Se 0.333 0.667 0.924
# **Electronic total energy**: -0.20158 hartree per atom